# Cr3Cd | Alexandria | GGA-PBE | relaxed
data_Cr3Cd
_chemical_formula_sum 'Cr9 Cd3'
_space_group_name_H-M_alt 'R -3 m'
_space_group_IT_number 166
_space_group_name_Hall '-R 3 2"'
_cell_length_a 8.6240
_cell_length_b 8.6240
_cell_length_c 2.5447
_cell_angle_alpha 90.00
_cell_angle_beta 90.00
_cell_angle_gamma 120.00
loop_
_atom_site_label
_atom_site_type_symbol
_atom_site_fract_x
_atom_site_fract_y
_atom_site_fract_z
Cr1 Cr 0.0000 0.5000 0.0000
Cd1 Cd 0.0000 0.0000 0.0000
# Energy of formation from the pure elements = 0.634 eV/atom
# Crystal system = trigonal

# CrCd2 | Alexandria | GGA-PBE | relaxed
data_CrCd2
_chemical_formula_sum 'Cr1 Cd2'
_space_group_name_H-M_alt 'P -3 m 1'
_space_group_IT_number 164
_space_group_name_Hall '-P 3 2"'
_cell_length_a 4.7931
_cell_length_b 4.7931
_cell_length_c 3.0109
_cell_angle_alpha 90.00
_cell_angle_beta 90.00
_cell_angle_gamma 120.00
loop_
_atom_site_label
_atom_site_type_symbol
_atom_site_fract_x
_atom_site_fract_y
_atom_site_fract_z
Cr1 Cr 0.0000 0.0000 0.0000
Cd1 Cd 0.3333 0.6667 0.4767
# Energy of formation from the pure elements = 0.366 eV/atom
# Crystal system = trigonal

# Cr3Cd | Alexandria | GGA-PBE | relaxed
data_Cr3Cd
_chemical_formula_sum 'Cr6 Cd2'
_space_group_name_H-M_alt 'C m m m'
_space_group_IT_number 65
_space_group_name_Hall '-C 2 2'
_cell_length_a 2.978
_cell_length_b 4.306
_cell_length_c 8.588
_cell_angle_alpha 90.00
_cell_angle_beta 90.00
_cell_angle_gamma 90.00
loop_
_atom_site_label
_atom_site_type_symbol
_atom_site_fract_x
_atom_site_fract_y
_atom_site_fract_z
Cr1 Cr 0.000 0.000 0.000
Cr2 Cr 0.000 0.500 0.216
Cd1 Cd 0.000 0.000 0.500
# Energy of formation from the pure elements = 0.391 eV/atom
# Crystal system = orthorhombic

# Cr3Cd | Alexandria | GGA-PBE | relaxed
data_Cr3Cd
_chemical_formula_sum 'Cr12 Cd4'
_space_group_name_H-M_alt 'I 4/m m m'
_space_group_IT_number 139
_space_group_name_Hall '-I 4 2'
_cell_length_a 4.311
_cell_length_b 4.311
_cell_length_c 13.104
_cell_angle_alpha 90.00
_cell_angle_beta 90.00
_cell_angle_gamma 90.00
loop_
_atom_site_label
_atom_site_type_symbol
_atom_site_fract_x
_atom_site_fract_y
_atom_site_fract_z
Cr1 Cr 0.000 0.000 0.125
Cr2 Cr 0.000 0.500 0.000
Cr3 Cr 0.000 0.500 0.250
Cd1 Cd 0.000 0.000 0.373
# Energy of formation from the pure elements = 0.493 eV/atom
# Crystal system = tetragonal